A geometry-optimized Sm2CdRuC structure. Source: Alexandria via LeMat-Bulk, functional PBE.

Cell: 5.187 5.187 3.936 Å, 90.00 90.00 90.00°
Atoms (fractional coordinates):
Sm1 0.000 0.500 0.000
Sm2 0.500 0.000 0.000
Cd1 0.000 0.000 0.500
Ru1 0.500 0.500 0.500
C1 0.500 0.500 0.000

Properties
Uncorrected energy in eV per cell: -30.5

A geometry-optimized Ta2CdRuC structure. Source: Alexandria via LeMat-Bulk, functional PBE.

Cell: 5.084 5.084 3.711 Å, 90.00 90.00 90.00°
Atoms (fractional coordinates):
Ta1 0.000 0.500 0.000
Ta2 0.500 0.000 0.000
Cd1 0.000 0.000 0.000
Ru1 0.500 0.500 0.500
C1 0.000 0.000 0.500

Properties
Uncorrected energy in eV per cell: -30.1

A geometry-optimized TiCd2RuC structure. Source: Alexandria via LeMat-Bulk, functional PBE.

Cell: 5.222 5.222 4.447 Å, 90.00 90.00 90.00°
Atoms (fractional coordinates):
Ti1 0.000 0.000 0.000
Cd1 0.000 0.500 0.500
Cd2 0.500 0.000 0.500
Ru1 0.000 0.000 0.500
C1 0.500 0.500 0.000

Properties
Uncorrected energy in eV per cell: -19.9

A geometry-optimized Tm2CdRuC structure. Source: Alexandria via LeMat-Bulk, functional PBE.

Cell: 4.927 4.927 3.934 Å, 90.00 90.00 90.00°
Atoms (fractional coordinates):
Tm1 0.000 0.500 0.000
Tm2 0.500 0.000 0.000
Cd1 0.000 0.000 0.500
Ru1 0.500 0.500 0.500
C1 0.500 0.500 0.000

Properties
Uncorrected energy in eV per cell: -30.5

A geometry-optimized Y2CdRuC structure. Source: Alexandria via LeMat-Bulk, functional PBE.

Cell: 5.035 5.035 3.940 Å, 90.00 90.00 90.00°
Atoms (fractional coordinates):
Y1 0.000 0.500 0.000
Y2 0.500 0.000 0.000
Cd1 0.000 0.000 0.500
Ru1 0.500 0.500 0.500
C1 0.500 0.500 0.000

Properties
Uncorrected energy in eV per cell: -34.4

A geometry-optimized YCdRuC2 structure. Source: Alexandria via LeMat-Bulk, functional PBE.

Cell: 4.069 4.069 5.103 Å, 90.00 90.00 90.00°
Atoms (fractional coordinates):
Y1 0.000 0.000 0.000
Cd1 0.500 0.500 0.000
Ru1 0.500 0.500 0.500
C1 0.000 0.500 0.500
C2 0.500 0.000 0.500

Properties
Uncorrected energy in eV per cell: -29.7

A geometry-optimized CdCS3 structure. Source: Alexandria via LeMat-Bulk, functional PBE.

Cell: 4.249 4.249 4.249 Å, 90.00 90.00 90.00°
Atoms (fractional coordinates):
Cd1 0.000 0.000 0.000
C1 0.500 0.500 0.500
S1 0.000 0.500 0.500
S2 0.500 0.000 0.500
S3 0.500 0.500 0.000

Properties
Formation energy (no corrections) in meV per atom: 1032

A geometry-optimized Cd2CS structure. Source: Alexandria via LeMat-Bulk, functional PBE.

Cell: 4.651 4.651 4.651 Å, 60.00 60.00 60.00°
Atoms (fractional coordinates):
Cd1 0.250 0.250 0.250
Cd2 0.750 0.750 0.750
C1 0.000 0.000 0.000
S1 0.500 0.500 0.500

Properties
Formation energy (no corrections) in meV per atom: 1309